## Na2Np2S5 (PBE)

Data for a relaxed Na2Np2S5 crystal.

```
data_Na2Np2S5
_cell_length_a 7.6255
_cell_length_b 9.2003
_cell_length_c 14.3899
_cell_angle_alpha 90.00
_cell_angle_beta 90.00
_cell_angle_gamma 90.00
_space_group_name_H-M_alt 'F m m m'
_space_group_IT_number 69
_space_group_name_Hall '-F 2 2'
loop_
_atom_site_label
_atom_site_type_symbol
_atom_site_fract_x
_atom_site_fract_y
_atom_site_fract_z
Na1 Na 0.0000 0.0000 0.1987
Np1 Np 0.0000 0.2286 0.5000
S1 S 0.0000 0.0000 0.0000
S2 S 0.2500 0.2500 0.1264
```

Results
magnetization: 6.0 μB per formula unit
formation energy from raw total energies: -978.4 meV per atom
total energy: -6.4402 eV/atom

## Na4Np3S8 (PBE)

Data for a relaxed Na4Np3S8 crystal.

```
data_Na4Np3S8
_cell_length_a 8.0085
_cell_length_b 8.0085
_cell_length_c 21.3379
_cell_angle_alpha 90.00
_cell_angle_beta 90.00
_cell_angle_gamma 120.00
_space_group_name_H-M_alt 'R -3 m'
_space_group_IT_number 166
_space_group_name_Hall '-R 3 2"'
loop_
_atom_site_label
_atom_site_type_symbol
_atom_site_fract_x
_atom_site_fract_y
_atom_site_fract_z
Na1 Na 0.0000 0.0000 0.0000
Na2 Na 0.0000 0.0000 0.1409
Na3 Na 0.0000 0.0000 0.5000
Np1 Np 0.0000 0.5000 0.0000
S1 S 0.0000 0.0000 0.2674
S2 S 0.0210 0.5105 0.2643
```

Results
magnetization: 9.0 μB per formula unit
formation energy from raw total energies: -1264.0 meV per atom
total energy: -6.4052 eV/atom

## Na3NpS4 (PBE)

Data for a relaxed Na3NpS4 crystal.

```
data_Na3NpS4
_cell_length_a 7.0241
_cell_length_b 8.0855
_cell_length_c 6.9003
_cell_angle_alpha 90.00
_cell_angle_beta 110.09
_cell_angle_gamma 90.00
_space_group_name_H-M_alt 'P 1 2/c 1'
_space_group_IT_number 13
loop_
_space_group_symop_operation_xyz
'x,y,z'
'-x,-y,-z'
'-x,y,-z+1/2'
'x,-y,z+1/2'
loop_
_atom_site_label
_atom_site_type_symbol
_atom_site_fract_x
_atom_site_fract_y
_atom_site_fract_z
Na1 Na 0.0000 0.1126 0.2500
Na2 Na 0.0000 0.3721 0.7500
Na3 Na 0.5000 0.1194 0.7500
Np1 Np 0.5000 0.3690 0.2500
S1 S 0.2640 0.1497 0.0271
S2 S 0.2844 0.3945 0.4992
```

Results
magnetization: 2.0 μB per formula unit
formation energy from raw total energies: -1220.4 meV per atom
total energy: -5.3964 eV/atom